A plane-wave DFT calculation with PBE with a Hubbard U was carried out for a relaxed ZnCrGe2O6 crystal.

theoretical density = 4.84 Mg/m³
distance to the lowest polymorph of the same formula = 22 meV per atom

Lattice parameters (Å, degrees): 6.813 6.813 5.487 100.42 100.42 85.37
Sites, in units of the cell vectors:
Zn (0.248, 0.752, 0.750)
Zn (0.752, 0.248, 0.250)
Cr (0.098, 0.902, 0.250)
Cr (0.902, 0.098, 0.750)
Ge (0.215, 0.390, 0.256)
Ge (0.390, 0.215, 0.756)
Ge (0.610, 0.785, 0.244)
Ge (0.785, 0.610, 0.744)
O (0.039, 0.202, 0.164)
O (0.142, 0.631, 0.396)
O (0.202, 0.039, 0.664)
O (0.300, 0.421, 0.971)
O (0.369, 0.858, 0.104)
O (0.421, 0.300, 0.471)
O (0.579, 0.700, 0.529)
O (0.631, 0.142, 0.896)
O (0.700, 0.579, 0.029)
O (0.798, 0.961, 0.336)
O (0.858, 0.369, 0.604)
O (0.961, 0.798, 0.836)